Here is an optimized crystal structure of HfFe2N from the Alexandria database. Energies are from PBE.

total magnetic moment	0.00	μB/f.u.
E	-72.09	eV per cell
SG	I-42d (122)
DOS(E_F)	5.7	states/eV/cell

Lattice parameters (Å, degrees): 6.415 6.415 5.115 51.16 51.16 90.00
Element x y z (fractional)
N: 0.250 0.750 0.500
Hf: 0.750 0.250 0.500
Fe: 0.489 0.125 0.250
Hf: 0.000 0.000 0.000
Fe: 0.875 0.739 0.750
Fe: 0.375 0.511 0.750
Fe: 0.261 0.625 0.250
N: 0.500 0.500 0.000

Here is an optimized crystal structure of HfFe2N2 from the Alexandria database. Energies are from PBE.

total magnetic moment	0.00	μB/f.u.
E	-83.01	eV per cell
relative energy among the computed polymorphs	574	meV/atom
SG	P4/mbm (127)
DOS(E_F)	6.7	states/eV/cell

Lattice parameters (Å, degrees): 6.521 6.521 3.013 90.00 90.00 90.00
Element x y z (fractional)
N: 0.291 0.791 0.500
Fe: 0.384 0.884 0.000
Fe: 0.116 0.384 0.000
Fe: 0.616 0.116 0.000
Hf: 0.500 0.500 0.000
N: 0.209 0.291 0.500
Hf: 0.000 0.000 0.000
N: 0.791 0.709 0.500
N: 0.709 0.209 0.500
Fe: 0.884 0.616 0.000